Record 1
4
Lattice="3.9583 0.0000 0.0000 1.9791 3.4280 0.0000 1.9791 1.1427 8.6202" Properties=species:S:1:pos:R:3 comment="Pr2MgCo | the Alexandria database | GGA-PBE | relaxed" density_kg_m3=5183 de_polymorph_ev_per_atom=0.124 delta_e_f_ev_per_atom=0.057 pbc="T T T"
Pr 1.9791 1.1427 7.0637
Pr 1.9791 1.1427 1.5508
Mg 3.9583 2.2853 4.3041
Co 3.9583 2.2853 0.0116

Record 2
6
Lattice="-3.2892 -2.0853 0.5136 3.1168 -1.8730 -2.6659 3.0489 -2.6354 8.8252" Properties=species:S:1:pos:R:3 comment="PrMgCo | the Alexandria database | GGA-PBE | relaxed" density_kg_m3=4946 delta_e_f_ev_per_atom=0.092 pbc="T T T"
Pr -0.0953 -3.2490 1.2210
Pr 2.9717 -3.3447 5.4519
Mg -0.1202 -2.3603 4.6694
Mg 0.0000 0.0000 0.0000
Co 1.8677 -2.2072 2.9998
Co 1.0087 -4.3864 3.6731

Record 3
8
Lattice="-4.5805 2.4663 3.8650 -4.0143 -6.3782 3.2426 1.3706 -3.2576 5.6681" Properties=species:S:1:pos:R:3 comment="Pr6MgCo | the Alexandria database | GGA-PBE | relaxed" density_kg_m3=5741 delta_e_f_ev_per_atom=0.082 pbc="T T T"
Pr -5.0647 -3.7787 8.3644
Pr -3.8124 -0.5743 5.8387
Pr -3.4118 -6.5952 6.9371
Pr -2.1596 -3.3908 4.4114
Pr -5.9569 -3.4087 4.9144
Pr -2.6379 -0.5032 2.1933
Mg 0.0000 0.0000 0.0000
Co -4.2974 -1.9559 3.5538

Record 4
4
Lattice="-0.7172 -3.2406 -1.9785 2.8718 -2.4666 -0.7741 -1.1531 -6.8237 7.8216" Properties=species:S:1:pos:R:3 comment="Pr2MgCo | the Alexandria database | GGA-PBE | relaxed" density_kg_m3=4595 de_polymorph_ev_per_atom=0.273 delta_e_f_ev_per_atom=0.206 pbc="T T T"
Pr -0.5051 -5.1196 4.7956
Pr 1.5066 -7.4112 0.2734
Mg 0.0000 0.0000 0.0000
Co 0.5007 -6.2654 2.5345

Record 5
18
Lattice="8.1364 0.1133 -3.0718 -4.1907 7.1448 -2.6533 0.0255 -0.1133 8.6969" Properties=species:S:1:pos:R:3 comment="Pr12MgCo5 | the Alexandria database | GGA-PBE | relaxed" density_kg_m3=6591 delta_e_f_ev_per_atom=-0.053 pbc="T T T"
Pr 0.8092 5.8156 2.3391
Pr 3.1620 1.3292 0.6327
Pr 6.4451 1.3292 2.8954
Pr -2.4739 5.8156 0.0764
Pr 2.7659 4.9286 -0.6686
Pr 1.2053 2.2163 3.6404
Pr -0.3342 4.8152 5.8742
Pr 4.3054 2.3296 -2.9024
Pr 4.0345 4.3749 2.8799
Pr -0.0634 2.7699 0.0919
Pr -2.5921 7.0388 3.7611
Pr 6.5633 0.1060 -0.7893
Mg -2.0826 3.5157 3.0218
Co 2.4405 4.4892 -3.5410
Co 1.5053 2.7689 -2.1841
Co 3.6177 0.7820 3.4847
Co 0.3535 6.3628 -0.5129
Co 0.0000 0.0000 0.0000

Record 6
11
Lattice="3.6301 0.0000 0.6623 1.1564 9.0518 3.9410 0.0620 -0.1009 9.9393" Properties=species:S:1:pos:R:3 comment="Pr7Mg2Co2 | the Alexandria database | GGA-PBE | relaxed" density_kg_m3=5844 delta_e_f_ev_per_atom=0.020 pbc="T T T"
Pr 3.1734 0.2725 3.1655
Pr 3.6245 4.0047 10.9724
Pr 1.9899 0.8423 9.6524
Pr 2.9583 3.6039 4.3445
Pr 2.0742 6.8852 9.1901
Pr 1.4396 6.7078 12.6686
Pr 0.7681 1.1329 6.0693
Mg 0.7633 5.7643 6.0955
Mg 2.3310 3.6950 7.7828
Co 3.5589 8.0526 11.3320
Co 1.4639 2.3551 2.2560

Record 7
11
Lattice="5.6294 0.2506 -0.8179 -1.7738 7.3150 -3.3962 0.2593 -0.3643 8.2456" Properties=species:S:1:pos:R:3 comment="Pr8MgCo2 | the Alexandria database | GGA-PBE | relaxed" density_kg_m3=6254 de_polymorph_ev_per_atom=0.013 delta_e_f_ev_per_atom=0.047 pbc="T T T"
Pr 2.5618 2.6092 -0.9280
Pr 3.0865 0.6274 2.0765
Pr 0.5255 2.8725 1.8030
Pr -0.2575 1.5975 5.3280
Pr -1.2654 5.4044 -0.4433
Pr 3.5715 4.3606 2.2527
Pr 1.0218 6.6189 1.9880
Pr 1.5460 4.6389 4.9897
Mg 5.6242 0.2630 -0.8088
Co 1.6262 5.2382 -0.4134
Co 2.4806 2.0114 4.4783

Record 8
12
Lattice="-2.8728 -3.4798 -1.9777 -2.1005 -3.3947 2.8874 -8.1787 2.5518 1.2537" Properties=species:S:1:pos:R:3 comment="PrMg3Co8 | the Alexandria database | GGA-PBE | relaxed" density_kg_m3=6619 delta_e_f_ev_per_atom=-0.013 pbc="T T T"
Pr -7.4082 -5.0660 1.2646
Mg -9.0400 -0.3313 1.4408
Mg -8.1048 2.4969 1.2429
Mg -6.7333 -2.0445 1.1046
Co -5.0674 -4.3403 -0.3827
Co -8.8945 -2.8950 2.7357
Co -3.6130 -2.5785 0.6186
Co -10.3607 -4.6710 1.7263
Co -4.5246 -0.1622 0.7211
Co -11.0642 -2.3506 1.7974
Co -4.6764 -4.2972 2.0805
Co -9.2886 -2.9385 0.2527